1.
VASP calculation (PBE with a Hubbard U) on crystalline MgFe3Co5O16 at its relaxed geometry. Values from VASP.

Calculated density = 4.95 Mg/m³
M_tot = 0.439 μB/atom
Energy above the most stable polymorph in this dataset = 68 meV/atom

```
&SYSTEM
  ibrav = 0, nat = 25, ntyp = 4
/
ATOMIC_SPECIES
Mg 24.30 Mg.upf
Fe 55.84 Fe.upf
Co 58.93 Co.upf
O 16.00 O.upf
ATOMIC_POSITIONS angstrom
Mg 0.0000 0.0000 0.0000
Fe 5.5741 4.9801 2.4220
Fe 4.2815 1.0419 6.7394
Fe 8.4121 4.9925 2.6183
Co 2.8580 3.4196 6.7067
Co 1.5218 0.9669 4.8712
Co 4.1470 2.4523 0.3676
Co 5.6781 3.4656 6.7684
Co 7.0078 2.5263 2.4027
O 2.7407 3.3779 1.4193
O 1.3390 0.8317 1.4655
O 2.6606 1.6595 3.5059
O 4.2256 4.4176 3.6653
O 3.0253 1.9180 7.8420
O 4.2517 4.0785 7.9132
O 2.9168 0.1598 5.7825
O 4.3071 2.6584 5.7903
O 5.6039 3.2926 1.5040
O 4.2694 0.7781 1.3790
O 5.5610 1.9366 7.9276
O 6.9777 4.1346 3.4130
O 7.1317 4.3153 7.7191
O 5.8653 1.6413 3.6354
O 7.1373 2.6676 5.8026
O 5.7785 0.1694 5.8431
CELL_PARAMETERS angstrom
5.6499 0.0000 0.0000
2.7370 4.9448 0.0000
0.2131 0.2435 8.9109
```

2.
VASP calculation (PBE with a Hubbard U) on crystalline Mg2Fe3CoO6 at its relaxed geometry. Values from VASP.

Calculated density = 5.03 Mg/m³
M_tot = 1.251 μB/atom
Raw total energy = -75.9 eV per formula unit

```
&SYSTEM
  ibrav = 0, nat = 12, ntyp = 4
/
ATOMIC_SPECIES
Mg 24.30 Mg.upf
Fe 55.84 Fe.upf
Co 58.93 Co.upf
O 16.00 O.upf
ATOMIC_POSITIONS angstrom
Mg 1.6897 0.0000 2.0174
Mg 9.8856 0.0000 4.0524
Fe 0.9158 0.0000 5.0683
Fe 5.7876 0.0000 3.0349
Fe 10.6595 0.0000 1.0015
Co 6.5314 0.0000 0.0000
O -1.1219 0.0000 4.6247
O 2.9665 0.0000 5.4663
O 3.7383 0.0000 2.6227
O 7.8370 0.0000 3.4471
O 8.6088 0.0000 0.6035
O 12.6971 0.0000 1.4451
CELL_PARAMETERS angstrom
6.5314 -1.5463 0.0000
6.5314 1.5463 0.0000
-1.4875 0.0000 6.0698
```

3.
VASP calculation (PBE with a Hubbard U) on crystalline MgFe3Co5O16 at its relaxed geometry. Values from VASP.

Calculated density = 4.91 Mg/m³
M_tot = 0.440 μB/atom
Energy above the most stable polymorph in this dataset = 15 meV/atom

```
&SYSTEM
  ibrav = 0, nat = 25, ntyp = 4
/
ATOMIC_SPECIES
Mg 24.30 Mg.upf
Fe 55.84 Fe.upf
Co 58.93 Co.upf
O 16.00 O.upf
ATOMIC_POSITIONS angstrom
Mg 0.0000 0.0000 0.0000
Fe 2.4808 1.4249 1.5691
Fe 2.4808 -1.4249 1.5691
Fe 8.1614 0.0000 5.8179
Co -0.0527 0.0000 3.5582
Co 3.1008 0.0000 7.8446
Co 5.6996 1.4187 5.9160
Co 4.9808 0.0000 1.5746
Co 5.6996 -1.4187 5.9160
O 2.2884 1.3728 6.8496
O 1.3312 0.0000 4.8126
O 4.2894 1.5806 4.6550
O 4.0453 1.2227 0.4131
O 1.8949 0.0000 0.3887
O 5.7786 1.4447 2.4104
O 3.3330 0.0000 2.5080
O 2.2884 -1.3728 6.8496
O 4.8311 0.0000 6.8002
O 4.0453 -1.2227 0.4131
O 6.4565 0.0000 4.9328
O 6.6355 0.0000 0.6115
O 4.2894 -1.5806 4.6550
O 8.2767 0.0000 2.5166
O 5.7786 -1.4447 2.4104
O 9.8707 0.0000 6.8584
CELL_PARAMETERS angstrom
5.0187 -2.8468 0.0000
5.0187 2.8468 0.0000
-0.1843 0.0000 8.7914
```

4.
VASP calculation (PBE with a Hubbard U) on crystalline MgFe3Co5O16 at its relaxed geometry. Values from VASP.

Calculated density = 4.86 Mg/m³
M_tot = 0.259 μB/atom
Energy above the most stable polymorph in this dataset = 0 meV/atom

```
&SYSTEM
  ibrav = 0, nat = 25, ntyp = 4
/
ATOMIC_SPECIES
Mg 24.30 Mg.upf
Fe 55.84 Fe.upf
Co 58.93 Co.upf
O 16.00 O.upf
ATOMIC_POSITIONS angstrom
Mg 0.0000 0.0000 0.0000
Fe 1.5154 2.4797 6.5896
Fe 2.8152 1.7057 2.2065
Fe 5.6518 1.7476 2.2258
Co 2.9028 4.9763 6.3474
Co 4.2391 4.1817 2.2301
Co 3.0075 0.0383 6.5808
Co 4.4274 2.4901 8.5903
Co 7.0342 4.1896 4.1385
O 2.7004 3.5066 5.3054
O 1.3747 0.8150 1.2441
O 1.5770 0.7711 5.5920
O 3.0560 3.3262 0.9568
O 4.3272 4.2074 7.5272
O 3.0442 1.6343 7.5000
O 4.2730 2.5841 3.1767
O 5.6371 4.9659 3.1439
O 5.4763 3.3039 1.0574
O 4.3394 1.1208 0.9715
O 5.8832 3.5535 5.4461
O 4.3666 0.6257 5.3605
O 7.2446 4.2853 7.4808
O 5.8178 1.5567 7.5839
O 7.0261 2.5315 3.2062
O 8.4270 4.9849 3.0889
CELL_PARAMETERS angstrom
5.6728 0.0000 0.0000
2.7493 5.0285 0.0000
0.1399 -0.0725 8.8887
```

5.
VASP calculation (PBE with a Hubbard U) on crystalline MgFeCoO2 at its relaxed geometry. Values from VASP.

Calculated density = 4.05 Mg/m³
M_tot = 1.293 μB/atom
Raw total energy = -21.6 eV per formula unit

```
&SYSTEM
  ibrav = 0, nat = 5, ntyp = 4
/
ATOMIC_SPECIES
Mg 24.30 Mg.upf
Fe 55.84 Fe.upf
Co 58.93 Co.upf
O 16.00 O.upf
ATOMIC_POSITIONS angstrom
Mg 0.0000 0.0000 0.0000
Fe 1.9019 1.9019 0.0000
Co 0.0000 0.0000 2.4211
O 0.0000 1.9019 2.4211
O 1.9019 0.0000 2.4211
CELL_PARAMETERS angstrom
3.8038 0.0000 0.0000
0.0000 3.8038 0.0000
0.0000 0.0000 4.8422
```

6.
VASP calculation (PBE with a Hubbard U) on crystalline Mg6FeCoO8 at its relaxed geometry. Values from VASP.

Calculated density = 4.14 Mg/m³
M_tot = 0.437 μB/atom
Energy above the most stable polymorph in this dataset = 14 meV/atom

```
&SYSTEM
  ibrav = 0, nat = 16, ntyp = 4
/
ATOMIC_SPECIES
Mg 24.30 Mg.upf
Fe 55.84 Fe.upf
Co 58.93 Co.upf
O 16.00 O.upf
ATOMIC_POSITIONS angstrom
Mg 0.0000 0.0000 0.0000
Mg 0.0000 2.1256 2.1475
Mg 0.0000 2.1256 6.4755
Mg 2.1256 0.0000 2.1475
Mg 2.1256 0.0000 6.4755
Mg 2.1256 2.1256 0.0000
Fe 0.0000 0.0000 4.3115
Co 2.1256 2.1256 4.3115
O 0.0000 0.0000 2.1450
O 0.0000 0.0000 6.4780
O 0.0000 2.1256 0.0000
O 0.0000 2.1256 4.3115
O 2.1256 0.0000 0.0000
O 2.1256 0.0000 4.3115
O 2.1256 2.1256 2.0991
O 2.1256 2.1256 6.5239
CELL_PARAMETERS angstrom
4.2511 0.0000 0.0000
0.0000 4.2511 0.0000
0.0000 0.0000 8.6230
```

7.
VASP calculation (PBE with a Hubbard U) on crystalline MgFe3Co5O16 at its relaxed geometry. Values from VASP.

Calculated density = 4.85 Mg/m³
M_tot = 0.040 μB/atom
Energy above the most stable polymorph in this dataset = 9 meV/atom

```
&SYSTEM
  ibrav = 0, nat = 25, ntyp = 4
/
ATOMIC_SPECIES
Mg 24.30 Mg.upf
Fe 55.84 Fe.upf
Co 58.93 Co.upf
O 16.00 O.upf
ATOMIC_POSITIONS angstrom
Mg 0.0000 0.0000 0.0000
Fe 4.0161 1.4282 5.8609
Fe 4.8972 0.0000 1.6573
Fe 4.0161 -1.4282 5.8609
Co 1.5404 0.0000 5.8787
Co 7.3828 1.4159 1.6262
Co 6.5214 0.0000 7.8309
Co 7.3828 -1.4159 1.6262
Co 9.8444 0.0000 3.4942
O 7.3145 -1.4857 6.8070
O 4.0252 1.4876 2.5833
O 1.5333 0.0000 2.5277
O 5.6040 1.6565 4.7601
O 3.1608 0.0000 0.7042
O 3.1690 0.0000 4.9242
O 5.9187 1.2808 0.4387
O 7.3145 1.4857 6.8070
O 4.7797 0.0000 6.8741
O 4.0252 -1.4876 2.5833
O 6.6611 0.0000 2.5647
O 8.0528 0.0000 0.5011
O 5.9187 -1.2808 0.4387
O 8.4151 0.0000 4.7435
O 5.6040 -1.6565 4.7601
O 9.8282 0.0000 6.8582
CELL_PARAMETERS angstrom
4.9736 -2.8888 0.0000
4.9736 2.8888 0.0000
-0.0918 0.0000 8.8415
```

8.
VASP calculation (PBE with a Hubbard U) on crystalline Mg2FeCoO4 at its relaxed geometry. Values from VASP.

Calculated density = 4.75 Mg/m³
M_tot = 0.875 μB/atom
Raw total energy = -49.3 eV per formula unit

```
&SYSTEM
  ibrav = 0, nat = 8, ntyp = 4
/
ATOMIC_SPECIES
Mg 24.30 Mg.upf
Fe 55.84 Fe.upf
Co 58.93 Co.upf
O 16.00 O.upf
ATOMIC_POSITIONS angstrom
Mg 0.0000 0.0000 0.0000
Mg 2.6133 1.5283 0.0000
Fe -0.8312 1.5283 2.4871
Co 1.7821 0.0000 2.4871
O 0.8711 1.5283 1.2217
O 0.0841 0.0000 3.8020
O 3.4801 0.0000 1.1723
O 2.6931 1.5283 3.7526
CELL_PARAMETERS angstrom
5.2265 0.0000 0.0000
0.0000 3.0567 0.0000
-1.6624 0.0000 4.9743
```

Q: Which formula does entry 6 have?
A: Mg6FeCoO8

Q: What is the formula in the sixth record?
A: Mg6FeCoO8

Q: Number 5 is which compound?
A: MgFeCoO2